! PBE Ho5Tm2Sb5, optimized geometry; values from VASP
&SYSTEM
  ibrav = 0, nat = 12, ntyp = 3
/
ATOMIC_SPECIES
Ho 164.93 Ho.upf
Tm 168.93 Tm.upf
Sb 121.76 Sb.upf
ATOMIC_POSITIONS crystal
Ho 0.500 0.000 0.500
Ho 0.661 0.321 0.034
Ho 0.720 0.439 0.342
Ho 0.280 0.561 0.658
Ho 0.339 0.679 0.966
Tm 0.048 0.096 0.788
Tm 0.952 0.904 0.212
Sb 0.118 0.235 0.431
Sb 0.696 0.392 0.788
Sb 0.304 0.608 0.212
Sb 0.882 0.765 0.569
Sb 0.000 0.000 0.000
CELL_PARAMETERS angstrom
-1.493 2.448 -3.238
-5.450 -0.563 4.976
7.761 9.138 3.330
! E	-62.20	eV per cell
! SG	C2/m (12)
! uncorrected formation energy	-0.813	eV/atom
! crystal system	monoclinic

! PBE Ho2TmSb2, optimized geometry; values from VASP
&SYSTEM
  ibrav = 0, nat = 10, ntyp = 3
/
ATOMIC_SPECIES
Ho 164.93 Ho.upf
Tm 168.93 Tm.upf
Sb 121.76 Sb.upf
ATOMIC_POSITIONS crystal
Ho 0.846 0.700 0.692
Ho 0.154 0.300 0.308
Ho 0.654 0.008 0.308
Ho 0.346 0.992 0.692
Tm 0.750 0.500 0.000
Tm 0.250 0.500 0.000
Sb 0.392 0.680 0.785
Sb 0.608 0.320 0.215
Sb 0.108 0.895 0.215
Sb 0.892 0.105 0.785
CELL_PARAMETERS angstrom
6.211 0.000 0.000
0.000 8.351 0.000
-3.105 -4.175 5.765
! E	-51.37	eV per cell
! SG	Ibam (72)
! uncorrected formation energy	-0.763	eV/atom
! crystal system	orthorhombic

! PBE Ho3TmSb4, optimized geometry; values from VASP
&SYSTEM
  ibrav = 0, nat = 8, ntyp = 3
/
ATOMIC_SPECIES
Ho 164.93 Ho.upf
Tm 168.93 Tm.upf
Sb 121.76 Sb.upf
ATOMIC_POSITIONS crystal
Ho 0.000 0.500 0.500
Ho 0.500 0.000 0.500
Ho 0.500 0.500 0.000
Tm 0.000 0.000 0.000
Sb 0.500 0.000 0.000
Sb 0.000 0.500 0.000
Sb 0.000 0.000 0.500
Sb 0.500 0.500 0.500
CELL_PARAMETERS angstrom
6.160 0.000 0.000
0.000 6.160 0.000
0.000 0.000 6.160
! E	-43.55	eV per cell
! SG	Pm-3m (221)
! uncorrected formation energy	-1.107	eV/atom
! crystal system	cubic

! PBE Ho3Tm4Sb4, optimized geometry; values from VASP
&SYSTEM
  ibrav = 0, nat = 11, ntyp = 3
/
ATOMIC_SPECIES
Ho 164.93 Ho.upf
Tm 168.93 Tm.upf
Sb 121.76 Sb.upf
ATOMIC_POSITIONS crystal
Ho 0.102 0.102 0.203
Ho 0.898 0.898 0.797
Ho 0.000 0.500 0.000
Tm 0.331 0.145 0.662
Tm 0.669 0.483 0.338
Tm 0.669 0.855 0.338
Tm 0.331 0.517 0.662
Sb 0.262 0.762 0.523
Sb 0.738 0.238 0.477
Sb 0.500 0.794 0.000
Sb 0.500 0.206 0.000
CELL_PARAMETERS angstrom
-2.781 1.132 2.688
-6.471 -3.971 -5.025
5.777 -5.818 5.406
! E	-56.06	eV per cell
! SG	Immm (71)
! uncorrected formation energy	-0.723	eV/atom
! crystal system	orthorhombic

! PBE Ho3TmSb2, optimized geometry; values from VASP
&SYSTEM
  ibrav = 0, nat = 12, ntyp = 3
/
ATOMIC_SPECIES
Ho 164.93 Ho.upf
Tm 168.93 Tm.upf
Sb 121.76 Sb.upf
ATOMIC_POSITIONS crystal
Ho 0.312 0.624 0.517
Ho 0.945 0.890 0.565
Ho 0.644 0.289 0.812
Ho 0.356 0.711 0.188
Ho 0.055 0.110 0.435
Ho 0.688 0.376 0.483
Tm 0.891 0.782 0.893
Tm 0.109 0.218 0.107
Sb 0.493 0.985 0.830
Sb 0.507 0.015 0.170
Sb 0.748 0.497 0.220
Sb 0.252 0.503 0.780
CELL_PARAMETERS angstrom
-3.638 0.607 2.140
5.012 -6.743 6.185
1.464 9.598 -0.232
! relative energy among the computed polymorphs	0.804	eV/f.u.
! E	-60.67	eV per cell
! SG	C2/m (12)
! uncorrected formation energy	-0.647	eV/atom
! crystal system	monoclinic

! PBE HoTmSb2, optimized geometry; values from VASP
&SYSTEM
  ibrav = 0, nat = 8, ntyp = 3
/
ATOMIC_SPECIES
Ho 164.93 Ho.upf
Tm 168.93 Tm.upf
Sb 121.76 Sb.upf
ATOMIC_POSITIONS crystal
Ho 0.667 0.333 0.250
Ho 0.333 0.667 0.750
Tm 0.000 0.000 0.500
Tm 0.000 0.000 0.000
Sb 0.333 0.667 0.378
Sb 0.667 0.333 0.878
Sb 0.667 0.333 0.622
Sb 0.333 0.667 0.122
CELL_PARAMETERS angstrom
-3.716 1.857 1.246
0.299 -1.839 -3.916
-4.392 -12.508 5.539
! relative energy among the computed polymorphs	0.303	eV/f.u.
! E	-42.71	eV per cell
! SG	P6_3/mmc (194)
! uncorrected formation energy	-1.015	eV/atom
! crystal system	hexagonal

! PBE Ho2TmSb, optimized geometry; values from VASP
&SYSTEM
  ibrav = 0, nat = 4, ntyp = 3
/
ATOMIC_SPECIES
Ho 164.93 Ho.upf
Tm 168.93 Tm.upf
Sb 121.76 Sb.upf
ATOMIC_POSITIONS crystal
Ho 0.069 0.069 0.794
Ho 0.265 0.265 0.206
Tm 0.500 0.500 0.499
Sb 0.666 0.666 0.001
CELL_PARAMETERS angstrom
-0.654 1.427 -3.650
-2.849 -1.584 -2.271
-7.338 6.042 1.514
! relative energy among the computed polymorphs	0.890	eV/f.u.
! E	-18.97	eV per cell
! SG	R3m (160)
! uncorrected formation energy	-0.304	eV/atom
! crystal system	trigonal

! PBE Ho3TmSb, optimized geometry; values from VASP
&SYSTEM
  ibrav = 0, nat = 20, ntyp = 3
/
ATOMIC_SPECIES
Ho 164.93 Ho.upf
Tm 168.93 Tm.upf
Sb 121.76 Sb.upf
ATOMIC_POSITIONS crystal
Ho 0.250 0.587 0.074
Ho 0.750 0.413 0.926
Ho 0.250 0.087 0.426
Ho 0.750 0.913 0.574
Ho 0.250 0.385 0.734
Ho 0.750 0.115 0.234
Ho 0.250 0.885 0.766
Ho 0.750 0.631 0.680
Ho 0.250 0.369 0.320
Ho 0.750 0.131 0.820
Ho 0.750 0.615 0.266
Ho 0.250 0.869 0.180
Tm 0.750 0.837 0.969
Tm 0.250 0.663 0.469
Tm 0.750 0.337 0.531
Tm 0.250 0.163 0.031
Sb 0.250 0.130 0.639
Sb 0.250 0.630 0.861
Sb 0.750 0.370 0.139
Sb 0.750 0.870 0.361
CELL_PARAMETERS angstrom
-0.765 3.133 2.216
-9.617 -3.826 2.091
5.256 -6.896 11.559
! E	-96.21	eV per cell
! SG	Pnma (62)
! uncorrected formation energy	-0.345	eV/atom
! crystal system	orthorhombic

! PBE HoTmSb2, optimized geometry; values from VASP
&SYSTEM
  ibrav = 0, nat = 4, ntyp = 3
/
ATOMIC_SPECIES
Sb 121.76 Sb.upf
Tm 168.93 Tm.upf
Ho 164.93 Ho.upf
ATOMIC_POSITIONS crystal
Sb 0.751 0.751 0.748
Sb 0.249 0.249 0.252
Tm 0.500 0.500 0.500
Ho 0.000 0.000 0.000
CELL_PARAMETERS angstrom
4.353 0.000 0.000
2.176 3.769 0.000
2.176 1.256 7.105
! relative energy among the computed polymorphs	0.000	eV/f.u.
! E	-21.66	eV per cell
! SG	R-3m (166)
! uncorrected formation energy	-1.090	eV/atom
! crystal system	trigonal

! PBE HoTmSb2, optimized geometry; values from VASP
&SYSTEM
  ibrav = 0, nat = 4, ntyp = 3
/
ATOMIC_SPECIES
Ho 164.93 Ho.upf
Tm 168.93 Tm.upf
Sb 121.76 Sb.upf
ATOMIC_POSITIONS crystal
Ho 0.669 0.669 0.994
Tm 0.498 0.498 0.505
Sb 0.082 0.082 0.753
Sb 0.251 0.251 0.248
CELL_PARAMETERS angstrom
4.324 0.000 0.000
2.162 3.745 0.000
2.162 1.248 7.357
! relative energy among the computed polymorphs	0.453	eV/f.u.
! E	-21.20	eV per cell
! SG	R3m (160)
! uncorrected formation energy	-0.977	eV/atom
! crystal system	trigonal

! PBE Ho4TmSb5, optimized geometry; values from VASP
&SYSTEM
  ibrav = 0, nat = 10, ntyp = 3
/
ATOMIC_SPECIES
Ho 164.93 Ho.upf
Tm 168.93 Tm.upf
Sb 121.76 Sb.upf
ATOMIC_POSITIONS crystal
Ho 0.400 0.400 0.800
Ho 0.800 0.800 0.601
Ho 0.200 0.200 0.399
Ho 0.600 0.600 0.200
Tm 0.000 0.000 0.000
Sb 0.599 0.099 0.198
Sb 0.800 0.300 0.600
Sb 0.200 0.700 0.400
Sb 0.000 0.500 0.000
Sb 0.401 0.901 0.802
CELL_PARAMETERS angstrom
4.282 0.000 -0.826
-0.318 5.932 -1.647
0.005 -0.001 11.535
! E	-54.45	eV per cell
! SG	Immm (71)
! uncorrected formation energy	-1.105	eV/atom
! crystal system	orthorhombic

! PBE Ho2TmSb, optimized geometry; values from VASP
&SYSTEM
  ibrav = 0, nat = 8, ntyp = 3
/
ATOMIC_SPECIES
Ho 164.93 Ho.upf
Tm 168.93 Tm.upf
Sb 121.76 Sb.upf
ATOMIC_POSITIONS crystal
Ho 0.564 0.250 0.127
Ho 0.436 0.750 0.873
Ho 0.061 0.750 0.123
Ho 0.939 0.250 0.877
Tm 0.692 0.750 0.384
Tm 0.308 0.250 0.616
Sb 0.170 0.250 0.339
Sb 0.830 0.750 0.661
CELL_PARAMETERS angstrom
-0.728 1.299 -4.308
-1.804 -4.028 -0.910
-9.626 3.182 4.998
! relative energy among the computed polymorphs	0.000	eV/f.u.
! E	-39.71	eV per cell
! SG	Cmcm (63)
! uncorrected formation energy	-0.526	eV/atom
! crystal system	orthorhombic

Repeat the second record exactly.
! PBE Ho2TmSb2, optimized geometry; values from VASP
&SYSTEM
  ibrav = 0, nat = 10, ntyp = 3
/
ATOMIC_SPECIES
Ho 164.93 Ho.upf
Tm 168.93 Tm.upf
Sb 121.76 Sb.upf
ATOMIC_POSITIONS crystal
Ho 0.846 0.700 0.692
Ho 0.154 0.300 0.308
Ho 0.654 0.008 0.308
Ho 0.346 0.992 0.692
Tm 0.750 0.500 0.000
Tm 0.250 0.500 0.000
Sb 0.392 0.680 0.785
Sb 0.608 0.320 0.215
Sb 0.108 0.895 0.215
Sb 0.892 0.105 0.785
CELL_PARAMETERS angstrom
6.211 0.000 0.000
0.000 8.351 0.000
-3.105 -4.175 5.765
! E	-51.37	eV per cell
! SG	Ibam (72)
! uncorrected formation energy	-0.763	eV/atom
! crystal system	orthorhombic